Here is a relaxed structure of Rb4NaCd3Br12 from Alexandria. Energies are from GGA-PBE.

```
data_Rb4NaCd3Br12
_cell_length_a 11.2344
_cell_length_b 11.2344
_cell_length_c 11.2344
_cell_angle_alpha 90.00
_cell_angle_beta 90.00
_cell_angle_gamma 90.00
_symmetry_space_group_name_H-M 'I m -3 m'
_symmetry_Int_Tables_number 229
_symmetry_space_group_name_Hall '-I 4 2 3'
loop_
_atom_site_label
_atom_site_type_symbol
_atom_site_fract_x
_atom_site_fract_y
_atom_site_fract_z
Rb1 Rb 0.2500 0.2500 0.2500
Na1 Na 0.0000 0.0000 0.0000
Cd1 Cd 0.0000 0.0000 0.5000
Br1 Br 0.0000 0.0000 0.2588
Br2 Br 0.0000 0.2500 0.5000
```

Summary:
- Formation energy from raw total energies: -1.188 eV/atom
- DOS at the Fermi energy: 26.0 states/eV/f.u.



Here is a relaxed structure of RbNaCd2Br from Alexandria. Energies are from GGA-PBE.

```
data_RbNaCd2Br
_cell_length_a 6.8093
_cell_length_b 6.8093
_cell_length_c 7.4207
_cell_angle_alpha 90.00
_cell_angle_beta 90.00
_cell_angle_gamma 90.00
_symmetry_space_group_name_H-M 'P 4/m m m'
_symmetry_Int_Tables_number 123
_symmetry_space_group_name_Hall '-P 4 2'
loop_
_atom_site_label
_atom_site_type_symbol
_atom_site_fract_x
_atom_site_fract_y
_atom_site_fract_z
Rb1 Rb 0.0000 0.0000 0.0000
Na1 Na 0.0000 0.0000 0.5000
Cd1 Cd 0.0000 0.5000 0.0000
Br1 Br 0.5000 0.5000 0.5000
```

Summary:
- Formation energy from raw total energies: 0.185 eV/atom
- DOS at the Fermi energy: 2.7 states/eV/f.u.



Here is a relaxed structure of RbNa2CdBr from Alexandria. Energies are from GGA-PBE.

```
data_RbNa2CdBr
_cell_length_a 5.7351
_cell_length_b 5.7351
_cell_length_c 6.9675
_cell_angle_alpha 90.00
_cell_angle_beta 90.00
_cell_angle_gamma 90.00
_symmetry_space_group_name_H-M 'P 4/m m m'
_symmetry_Int_Tables_number 123
_symmetry_space_group_name_Hall '-P 4 2'
loop_
_atom_site_label
_atom_site_type_symbol
_atom_site_fract_x
_atom_site_fract_y
_atom_site_fract_z
Rb1 Rb 0.0000 0.0000 0.0000
Na1 Na 0.0000 0.5000 0.5000
Cd1 Cd 0.5000 0.5000 0.5000
Br1 Br 0.5000 0.5000 0.0000
```

Summary:
- Formation energy from raw total energies: -0.344 eV/atom
- DOS at the Fermi energy: 1.5 states/eV/f.u.



Here is a relaxed structure of Na3Cd2S2Br3 from Alexandria. Energies are from GGA-PBE.

```
data_Na3Cd2S2Br3
_cell_length_a 4.4079
_cell_length_b 4.4079
_cell_length_c 28.9873
_cell_angle_alpha 90.00
_cell_angle_beta 90.00
_cell_angle_gamma 90.00
_symmetry_space_group_name_H-M 'I 4/m m m'
_symmetry_Int_Tables_number 139
_symmetry_space_group_name_Hall '-I 4 2'
loop_
_atom_site_label
_atom_site_type_symbol
_atom_site_fract_x
_atom_site_fract_y
_atom_site_fract_z
Na1 Na 0.0000 0.0000 0.0000
Na2 Na 0.0000 0.0000 0.4004
Cd1 Cd 0.0000 0.5000 0.2500
S1 S 0.0000 0.0000 0.2981
Br1 Br 0.0000 0.0000 0.1039
Br2 Br 0.0000 0.0000 0.5000
```

Summary:
- Formation energy from raw total energies: -1.077 eV/atom
- DOS at the Fermi energy: 0.0 states/eV/f.u.